1.
Below is a relaxed KTaZn2W crystal, with properties calculated at the PBE-GGA level.

The space group is P4/mmm (No. 123) and the conventional cell measures 5.089, 5.089 and 5.589 Å, with angles of 90.00, 90.00 and 90.00 degrees. The distinct sites, in fractional coordinates, are K at (0.000, 0.000, 0.000), Ta at (0.000, 0.000, 0.500), Zn at (0.000, 0.500, 0.500) and W at (0.500, 0.500, 0.000).

The raw total energy is -3.320 eV per atom. As for the energy of formation: 2.3699 eV per atom.

---

2.
Below is a relaxed KY2Ta crystal, with properties calculated at the PBE-GGA level.

The space group is P2/m (No. 10) and the conventional cell measures 3.414, 3.401 and 11.420 Å, with angles of 90.00, 90.17 and 90.00 degrees. The distinct sites, in fractional coordinates, are K at (0.000, 0.000, 0.000), Y at (0.498, 0.500, 0.323) and Ta at (0.000, 0.000, 0.500).

The raw total energy is -6.070 eV per atom. The calculation puts the excess energy over the best structure of this formula in the dataset at 0.110 eV/atom. As for the energy of formation: 0.3997 eV per atom.